1.
This record from Alexandria via LeMat-Bulk describes FeMo2W after structural relaxation. The functional is GGA-PBE.

Properties
Its crystal system is orthorhombic. The value obtained for the size of the total moment is 4.16 Bohr magnetons per cell. The value obtained for the energy relative to the lowest polymorph listed for this composition is 74.5 meV per atom. As for the energy of formation: 0.14 eV per atom.

Cell lengths 3.162, 4.383, 8.648 Å; angles 90.00, 90.00, 90.00 degrees
Space group Immm (No. 71)
Asymmetric unit:
Fe: 0.000 0.000 0.000 [2 per cell]
Mo: 0.000 0.500 0.249 [4 per cell]
W: 0.000 0.000 0.500 [2 per cell]

=====

2.
This record from Alexandria via LeMat-Bulk describes FeMo2W after structural relaxation. The functional is GGA-PBE.

Properties
Its crystal system is orthorhombic. The value obtained for the size of the total moment is 4.48 Bohr magnetons per cell. The value obtained for the energy relative to the lowest polymorph listed for this composition is 0.0 meV per atom. As for the energy of formation: 0.06 eV per atom.

Cell lengths 3.167, 4.369, 8.675 Å; angles 90.00, 90.00, 90.00 degrees
Space group Cmmm (No. 65)
Asymmetric unit:
Fe: 0.000 0.000 0.000 [2 per cell]
Mo: 0.000 0.500 0.238 [4 per cell]
W: 0.000 0.000 0.500 [2 per cell]

=====

3.
This record from Alexandria via LeMat-Bulk describes Fe2MoW after structural relaxation. The functional is GGA-PBE.

Properties
Its crystal system is orthorhombic. The value obtained for the size of the total moment is 8.72 Bohr magnetons per cell. As for the energy of formation: 0.09 eV per atom.

Cell lengths 3.134, 4.280, 8.346 Å; angles 90.00, 90.00, 90.00 degrees
Space group Cmm2 (No. 35)
Asymmetric unit:
Fe: 0.000 0.000 0.000 [2 per cell]
Fe: 0.000 0.500 0.227 [2 per cell]
Mo: 0.000 0.000 0.476 [2 per cell]
W: 0.000 0.500 0.751 [2 per cell]

=====

4.
This record from Alexandria via LeMat-Bulk describes Fe2MoW after structural relaxation. The functional is GGA-PBE.

Properties
Its crystal system is trigonal. The value obtained for the size of the total moment is 13.06 Bohr magnetons per cell. As for the energy of formation: 0.33 eV per atom.

Cell lengths 2.7487, 2.7487, 25.9288 Å; angles 90.00, 90.00, 120.00 degrees
Space group R3m (No. 160, hexagonal axes)
Asymmetric unit:
Fe: 0.0000 0.0000 0.0000 [3 per cell]
Fe: 0.0000 0.0000 0.2619 [3 per cell]
Mo: 0.0000 0.0000 0.7497 [3 per cell]
W: 0.0000 0.0000 0.5112 [3 per cell]

=====

5.
This record from Alexandria via LeMat-Bulk describes FeMo3W after structural relaxation. The functional is GGA-PBE.

Properties
Its crystal system is cubic. The value obtained for the size of the total moment is 0.35 Bohr magnetons per cell. The value obtained for the energy relative to the lowest polymorph listed for this composition is 1012.8 meV per atom. As for the energy of formation: 2.26 eV per atom.

Cell lengths 4.694, 4.694, 4.694 Å; angles 90.00, 90.00, 90.00 degrees
Space group Pm-3m (No. 221)
Asymmetric unit:
Fe: 0.000 0.000 0.000 [1 per cell]
Mo: 0.000 0.500 0.500 [3 per cell]
W: 0.500 0.500 0.500 [1 per cell]

=====

6.
This record from Alexandria via LeMat-Bulk describes Fe2MoW after structural relaxation. The functional is GGA-PBE.

Properties
Its crystal system is monoclinic. The value obtained for the size of the total moment is 4.45 Bohr magnetons per cell. As for the energy of formation: 0.10 eV per atom.

Cell lengths 2.614, 4.288, 5.022 Å; angles 90.00, 98.91, 90.00 degrees
Space group Pm (No. 6)
Asymmetric unit:
Fe: 0.000 0.000 0.000 [1 per cell]
Fe: 0.213 0.500 0.758 [1 per cell]
Mo: 0.727 0.500 0.241 [1 per cell]
W: 0.486 0.000 0.519 [1 per cell]

=====

7.
This record from Alexandria via LeMat-Bulk describes Fe2MoW after structural relaxation. The functional is GGA-PBE.

Properties
Its crystal system is monoclinic. The value obtained for the size of the total moment is 8.23 Bohr magnetons per cell. As for the energy of formation: 0.14 eV per atom.

Cell lengths 5.254, 8.388, 2.635 Å; angles 90.00, 106.83, 90.00 degrees
Space group C2/m (No. 12)
Asymmetric unit:
Fe: 0.250 0.250 0.000 [4 per cell]
Mo: 0.000 0.000 0.500 [2 per cell]
W: 0.000 0.500 0.500 [2 per cell]

=====

8.
This record from Alexandria via LeMat-Bulk describes FeMo2W after structural relaxation. The functional is GGA-PBE.

Properties
Its crystal system is tetragonal. The value obtained for the size of the total moment is 0.00 Bohr magnetons per cell. The value obtained for the energy relative to the lowest polymorph listed for this composition is 134.0 meV per atom. As for the energy of formation: 0.20 eV per atom.

Cell lengths 2.693, 2.693, 8.115 Å; angles 90.00, 90.00, 90.00 degrees
Space group P4/mmm (No. 123)
Asymmetric unit:
Fe: 0.000 0.000 0.000 [1 per cell]
Mo: 0.500 0.500 0.217 [2 per cell]
W: 0.000 0.000 0.500 [1 per cell]